# 1
The following is a DFT calculation (GGA-PBE) of a relaxed ThPd2Pt crystal.

Properties
SG	Fm-3m, No. 225
energy	-6.75	eV per atom

The structure in extended XYZ format:
```
4
Lattice="-4.2613 1.0165 1.9126 -3.9299 -0.1199 -2.7186 -3.2301 -3.4677 0.6198" Properties=species:S:1:pos:R:3 pbc="T T T"
Pd -2.8555 -0.6445 -0.0461
Pd -8.5657 -1.9267 -0.1400
Pt 0.0000 0.0000 0.0000
Th -5.7106 -1.2856 -0.0931
```

---

# 2
The following is a DFT calculation (GGA-PBE) of a relaxed PaPd6Au5 crystal.

Properties
SG	Cmmm, No. 65
energy	-5.13	eV per atom

The structure in extended XYZ format:
```
12
Lattice="-3.8987 -0.8974 -1.5653 2.8007 -6.3222 -3.3512 -3.2662 -3.7844 4.4098" Properties=species:S:1:pos:R:3 pbc="T T T"
Pa 0.0000 0.0000 0.0000
Au -3.3774 -6.2852 0.2253
Au -2.3976 -1.5842 0.9849
Au 1.4003 -3.1611 -1.6756
Au -4.7673 -3.0976 1.8597
Au -0.9868 -4.7188 -0.7320
Pd -2.2198 -6.7382 -2.3986
Pd -3.6331 -3.5475 -0.7073
Pd -1.2606 -2.0033 -1.6067
Pd 0.1626 -5.2163 -3.3098
Pd -0.7311 -7.4565 0.2006
Pd -2.1445 -4.2658 1.8919
```

---

# 3
The following is a DFT calculation (GGA-PBE) of a relaxed BaZrSe2S crystal.

Properties
SG	P4/mmm, No. 123
raw formation energy	-1.633	eV/atom

The structure in extended XYZ format:
```
5
Lattice="-1.6511 -2.6064 -4.3373 -3.0292 -3.1455 3.0433 -3.8157 3.2124 -0.4779" Properties=species:S:1:pos:R:3 pbc="T T T"
S -1.9078 1.6062 -0.2389
Se -1.5146 -1.5727 1.5216
Se -0.8255 -1.3032 -2.1687
Ba -4.2480 -1.2697 -0.8860
Zr 0.0000 0.0000 0.0000
```

---

# 4
The following is a DFT calculation (GGA-PBE) of a relaxed TaBr2F crystal.

Properties
SG	I-42d, No. 122
offset from the most stable computed form	0.000	eV per atom
raw formation energy	-1.122	eV/atom

The structure in extended XYZ format:
```
8
Lattice="9.7507 0.0000 0.0000 0.0000 9.7507 0.0000 4.8753 4.8753 2.0688" Properties=species:S:1:pos:R:3 pbc="T T T"
F 4.8753 4.8753 0.0000
F 4.8753 9.7507 1.0344
Br 8.8401 2.4377 0.5172
Br 10.6613 7.3130 0.5172
Br 7.3130 5.7859 1.5516
Br 12.1884 3.9648 1.5516
Ta 0.0000 0.0000 0.0000
Ta 9.7507 4.8753 1.0344
```

---

# 5
The following is a DFT calculation (GGA-PBE) of a relaxed Ag4PdAu3 crystal.

Properties
SG	C2/m, No. 12
offset from the most stable computed form	0.112	eV per atom

The structure in extended XYZ format:
```
8
Lattice="-0.6544 0.3828 -2.7291 4.1789 -1.7258 -1.2442 -5.4936 -10.3923 1.3296" Properties=species:S:1:pos:R:3 pbc="T T T"
Au 2.0895 -0.8629 -0.6221
Au 1.1278 -4.6965 -0.9292
Au -3.0969 -7.0388 -1.7145
Pd -0.3272 0.1914 -1.3646
Ag -1.6855 -4.5529 -1.7043
Ag -0.2837 -7.1823 -0.9394
Ag -0.3562 -2.3583 -0.2454
Ag -1.6130 -9.3769 -2.3984
```

---

# 6
The following is a DFT calculation (GGA-PBE) of a relaxed SrIn2Ga2 crystal.

Properties
SG	P4/mbm, No. 127
energy	-2.83	eV per atom

The structure in extended XYZ format:
```
10
Lattice="8.3561 0.0000 0.0000 0.0000 8.3561 0.0000 0.0000 0.0000 3.6671" Properties=species:S:1:pos:R:3 pbc="T T T"
Sr 0.0000 0.0000 0.0000
Sr 4.1781 4.1781 0.0000
Ga 3.1365 7.3146 0.0000
Ga 7.3146 5.2196 0.0000
Ga 5.2196 1.0416 0.0000
Ga 1.0416 3.1365 0.0000
In 1.3723 5.5504 1.8336
In 5.5504 6.9838 1.8336
In 6.9838 2.8058 1.8336
In 2.8058 1.3723 1.8336
```

---

# 7
The following is a DFT calculation (GGA-PBE) of a relaxed CrBiRh2Se crystal.

Properties
SG	P4/mmm, No. 123
raw formation energy	0.316	eV/atom

The structure in extended XYZ format:
```
5
Lattice="-2.8794 -2.4762 -2.7517 -0.4665 -3.1636 3.3349 -3.6714 2.3562 1.7215" Properties=species:S:1:pos:R:3 pbc="T T T"
Cr -0.2333 -1.5818 1.6675
Rh -1.8357 1.1781 0.8607
Rh -1.4397 -1.2381 -1.3759
Bi -3.5087 -1.6418 1.1523
Se 0.0000 0.0000 0.0000
```

---

# 8
The following is a DFT calculation (GGA-PBE) of a relaxed Li4PaTi3Se8 crystal.

Properties
SG	R-3m, No. 166
raw formation energy	-1.237	eV/atom

The structure in extended XYZ format:
```
16
Lattice="7.5505 0.0000 0.0000 0.0000 7.8625 0.2142 -3.7752 -3.7720 5.3409" Properties=species:S:1:pos:R:3 pbc="T T T"
Li 3.7752 0.0000 0.0000
Li 1.8876 -1.8860 2.6705
Li 0.0000 0.0000 0.0000
Li -1.8876 -1.8860 2.6705
Pa 0.0000 3.9312 0.1071
Ti 3.7752 3.9312 0.1071
Ti 1.8876 2.0452 2.7776
Ti -1.8876 2.0452 2.7776
Se -1.8007 2.1440 5.4541
Se 0.0000 3.9431 2.9065
Se 0.0000 0.1780 2.7931
Se 1.8007 2.1440 5.4541
Se 1.9746 1.9464 0.1010
Se 3.7752 3.9124 2.7620
Se 3.7752 0.1473 2.6486
Se 5.5759 1.9464 0.1010
```

---

# 9
The following is a DFT calculation (GGA-PBE) of a relaxed PmGa4Ir2Pd crystal.

Properties
SG	R-3m, No. 166
energy	-5.55	eV per atom

The structure in extended XYZ format:
```
8
Lattice="-1.5695 -2.1678 -3.3571 2.6680 -2.0319 -2.6807 -0.1851 -8.5833 2.8836" Properties=species:S:1:pos:R:3 pbc="T T T"
Pm 0.0000 0.0000 0.0000
Ga 0.2904 -8.5590 -0.0997
Ga 0.8842 -6.9930 -4.1338
Ga 0.0293 -5.7899 0.9797
Ga 0.6231 -4.2240 -3.0544
Ir 0.7128 -9.2262 -2.6117
Ir 0.2007 -3.5568 -0.5425
Pd 0.4567 -6.3915 -1.5771
```

---

# 10
The following is a DFT calculation (GGA-PBE) of a relaxed CoAsBr2 crystal.

Properties
SG	R3m, No. 160
offset from the most stable computed form	0.000	eV per atom
raw formation energy	-0.081	eV/atom

The structure in extended XYZ format:
```
4
Lattice="-8.2663 0.5556 -2.4699 -7.1135 -2.2562 -4.3645 -8.1580 -2.6932 -0.9671" Properties=species:S:1:pos:R:3 pbc="T T T"
As -18.2969 -3.4154 -6.0644
Br -0.6351 -0.1185 -0.2105
Br -4.9425 -0.9226 -1.6382
Co -11.4321 -2.1340 -3.7891
```

---

# 11
The following is a DFT calculation (GGA-PBE) of a relaxed Sc2BiRh crystal.

Properties
SG	R-3m, No. 166
energy	-5.94	eV per atom

The structure in extended XYZ format:
```
4
Lattice="-1.4109 9.9861 2.0391 0.6958 9.2763 4.3975 1.7732 10.0332 1.4360" Properties=species:S:1:pos:R:3 pbc="T T T"
Sc 0.9754 27.0096 7.2583
Sc 0.0826 2.2860 0.6143
Rh 0.0000 0.0000 0.0000
Bi 0.5290 14.6478 3.9363
```

---

# 12
The following is a DFT calculation (GGA-PBE) of a relaxed La2Ni2Cl crystal.

Properties
SG	C2/m, No. 12
raw formation energy	-0.921	eV/atom

The structure in extended XYZ format:
```
5
Lattice="3.9778 -0.0436 -1.1740 -2.2591 3.4767 -0.1099 0.7925 0.3395 8.3501" Properties=species:S:1:pos:R:3 pbc="T T T"
La 2.5025 1.6053 1.2600
La 0.0087 2.1672 5.8061
Ni 1.3715 0.7310 3.7902
Ni 1.1397 3.0416 3.2759
Cl 0.0000 0.0000 0.0000
```